1.
Rb3Er3ThTe8: relaxed, PBE.

```
data_Rb3Er3ThTe8
_chemical_formula_sum 'Rb9 Er9 Th3 Te24'
_cell_length_a 8.9378
_cell_length_b 8.9378
_cell_length_c 26.1121
_cell_angle_alpha 90.00
_cell_angle_beta 90.00
_cell_angle_gamma 120.00
_space_group_name_H-M_alt 'R -3 m'
_space_group_IT_number 166
_space_group_name_Hall '-R 3 2"'
loop_
_atom_site_label
_atom_site_type_symbol
_atom_site_fract_x
_atom_site_fract_y
_atom_site_fract_z
Rb1 Rb 0.0000 0.5000 0.0000
Er1 Er 0.0000 0.5000 0.5000
Th1 Th 0.0000 0.0000 0.5000
Te1 Te 0.0000 0.0000 0.2321
Te2 Te 0.0075 0.5038 0.7669
```

Summary:
As for the calculated total energy: -4.621 eV per atom. The uncorrected formation energy comes out at -1.345 eV per atom. For the magnetic moment, the calculation gives 0.00 μB/f.u. The calculation puts the density at 5.55 g cm⁻³.

2.
TeAsSe2I: relaxed, PBE.

```
data_TeAsSe2I
_chemical_formula_sum 'Te1 As1 Se2 I1'
_cell_length_a 5.3050
_cell_length_b 5.3050
_cell_length_c 5.6222
_cell_angle_alpha 90.00
_cell_angle_beta 90.00
_cell_angle_gamma 90.00
_space_group_name_H-M_alt 'P 4/m m m'
_space_group_IT_number 123
_space_group_name_Hall '-P 4 2'
loop_
_atom_site_label
_atom_site_type_symbol
_atom_site_fract_x
_atom_site_fract_y
_atom_site_fract_z
Te1 Te 0.0000 0.0000 0.0000
As1 As 0.0000 0.0000 0.5000
Se1 Se 0.0000 0.5000 0.0000
I1 I 0.5000 0.5000 0.5000
```

Summary:
As for the calculated total energy: -2.583 eV per atom. The uncorrected formation energy comes out at 0.679 eV per atom. For the magnetic moment, the calculation gives 0.00 μB/f.u. The energy above the most stable polymorph in this dataset is 0 meV per atom. The calculation puts the density at 5.11 g cm⁻³.

3.
Tl2P: relaxed, PBE.

```
data_Tl2P
_chemical_formula_sum 'Tl8 P4'
_cell_length_a 16.1395
_cell_length_b 3.1682
_cell_length_c 6.9596
_cell_angle_alpha 90.00
_cell_angle_beta 108.51
_cell_angle_gamma 90.00
_space_group_name_H-M_alt 'C 1 2/m 1'
_space_group_IT_number 12
loop_
_space_group_symop_operation_xyz
'x,y,z'
'-x,-y,-z'
'-x,y,-z'
'x,-y,z'
'x+1/2,y+1/2,z'
'-x+1/2,-y+1/2,-z'
'-x+1/2,y+1/2,-z'
'x+1/2,-y+1/2,z'
loop_
_atom_site_label
_atom_site_type_symbol
_atom_site_fract_x
_atom_site_fract_y
_atom_site_fract_z
Tl1 Tl 0.0341 0.0000 0.2787
Tl2 Tl 0.2201 0.5000 0.7237
P1 P 0.1243 0.5000 0.0187
```

Summary:
As for the calculated total energy: -3.133 eV per atom. The calculation puts the formation energy at 0.248 eV/atom. For the magnetic moment, the calculation gives 0.00 μB/f.u. The energy above the most stable polymorph in this dataset is 182 meV per atom. The calculation puts the density at 8.66 g cm⁻³.

4.
Pr6SiPb2: relaxed, PBE.

```
data_Pr6SiPb2
_chemical_formula_sum 'Pr6 Si1 Pb2'
_cell_length_a 8.6659
_cell_length_b 8.6659
_cell_length_c 4.4631
_cell_angle_alpha 90.00
_cell_angle_beta 90.00
_cell_angle_gamma 120.00
_space_group_name_H-M_alt 'P -6 2 m'
_space_group_IT_number 189
_space_group_name_Hall 'P -6 -2'
loop_
_atom_site_label
_atom_site_type_symbol
_atom_site_fract_x
_atom_site_fract_y
_atom_site_fract_z
Pr1 Pr 0.0000 0.2461 0.0000
Pr2 Pr 0.0000 0.6012 0.5000
Si1 Si 0.0000 0.0000 0.5000
Pb1 Pb 0.3333 0.6667 0.0000
```

Summary:
As for the calculated total energy: -5.081 eV per atom. The uncorrected formation energy comes out at -0.468 eV per atom. For the magnetic moment, the calculation gives 5.39 μB/f.u. The calculation puts the density at 7.37 g cm⁻³.